# LiAgOsSe3 (PBE, relaxed)
# Space-group type: Cmcm
# V (Å³ per cell): 238
# Electronic total energy (eV/cell): -53.92
data_LiAgOsSe3
_space_group_name_H-M_alt 'P 1'
_space_group_IT_number 1
_cell_length_a 6.704
_cell_length_b 6.704
_cell_length_c 9.948
_cell_angle_alpha 90.00
_cell_angle_beta 90.00
_cell_angle_gamma 32.12
loop_
_space_group_symop_operation_xyz
'x,y,z'
loop_
_atom_site_label
_atom_site_fract_x
_atom_site_fract_y
_atom_site_fract_z
Li1 0.733 0.733 0.250
Li2 0.267 0.267 0.750
Se1 0.927 0.927 0.750
Se2 0.073 0.073 0.250
Se3 0.634 0.634 0.994
Se4 0.366 0.366 0.006
Se5 0.366 0.366 0.494
Se6 0.634 0.634 0.506
Os1 0.000 0.000 0.000
Os2 0.000 0.000 0.500
Ag1 0.588 0.588 0.750
Ag2 0.412 0.412 0.250